# 1
NdTm3Hg: optimized geometry, PBE.

Results
Total magnetization ... 0.0 μB/cell
Mass density ... 9.430 g/cm3

```
10
Lattice="-3.790 3.537 -6.994 -1.167 -7.749 3.793 -0.905 2.734 6.013" Properties=species:S:1:pos:R:3 pbc="T T T"
Nd -4.000 4.883 -0.230
Nd -1.862 -6.359 3.041
Tm -3.163 2.756 -2.837
Tm -1.849 -2.884 2.559
Tm -4.013 1.408 0.253
Tm -3.209 -0.648 -2.386
Tm -2.699 -4.232 5.649
Tm -2.653 -0.829 5.198
Hg -4.066 -1.812 0.472
Hg -1.796 0.336 2.340
```

***

# 2
Mg6Bi3Pt: optimized geometry, PBE.

Results
Total magnetization ... 0.0 μB/cell
Mass density ... 6.107 g/cm3

```
20
Lattice="4.648 0.000 -0.001 0.000 9.205 0.000 0.002 0.000 12.303" Properties=species:S:1:pos:R:3 pbc="T T T"
Mg 2.326 0.817 11.073
Mg 2.325 1.904 5.972
Mg 2.325 5.718 3.685
Mg 2.325 3.486 8.617
Mg 2.325 7.300 6.329
Mg 2.324 8.387 1.228
Mg 0.001 3.785 4.923
Mg 0.002 2.698 12.124
Mg 0.002 8.089 9.837
Mg 4.648 1.116 2.465
Mg 4.648 6.507 0.178
Mg 4.650 5.420 7.379
Bi 2.326 6.314 9.420
Bi 2.324 4.602 0.000
Bi 2.324 2.890 2.882
Bi 0.001 7.493 3.269
Bi 0.001 0.000 6.151
Bi 4.650 1.712 9.033
Pt 2.325 4.602 6.151
Pt 0.000 0.000 0.000
```

***

Number 1: energy relative to the elements -105.9 meV per atom. Number 2: energy relative to the elements -279.3 meV per atom.